Run i
Compound: ZrFeNiPb
Source: OQMD
Functional: GGA-PBE
Structure: relaxed

Cell lengths 4.5384, 4.5384, 4.5384 Å; angles 60.00, 60.00, 60.00 degrees
Last column: nearest neighbours and their distance in Å.
Sites, in units of the cell vectors:
Pb 0.0000 0.0000 0.0000  4 Fe 2.78, 4 Ni 2.78
Zr 0.5000 0.5000 0.5000  4 Ni 2.78, 4 Fe 2.78
Fe 0.7500 0.7500 0.7500  4 Pb 2.78, 4 Zr 2.78
Ni 0.2500 0.2500 0.2500  4 Zr 2.78, 4 Pb 2.78

=====

Run ii
Compound: ZrFeNiPb
Source: OQMD
Functional: GGA-PBE
Structure: relaxed

Cell lengths 4.6278, 4.6278, 4.6278 Å; angles 60.00, 60.00, 60.00 degrees
Last column: nearest neighbours and their distance in Å.
Sites, in units of the cell vectors:
Fe 0.7500 0.7500 0.7500  4 Ni 2.83, 4 Pb 2.83
Pb 0.0000 0.0000 0.0000  4 Fe 2.83, 4 Zr 2.83
Ni 0.5000 0.5000 0.5000  4 Fe 2.83, 4 Zr 2.83
Zr 0.2500 0.2500 0.2500  4 Ni 2.83, 4 Pb 2.83

=====

Computed stability ranking, most favorable first: run i, run ii

=====

Run i
Compound: PmFeNi
Source: OQMD
Functional: GGA-PBE
Structure: relaxed

Cell lengths 4.3511, 4.3511, 4.3511 Å; angles 60.00, 60.00, 60.00 degrees
Last column: nearest neighbours and their distance in Å.
Sites, in units of the cell vectors:
Ni 0.2500 0.2500 0.2500  4 Fe 2.66
Pm 0.7500 0.7500 0.7500  4 Fe 2.66
Fe 0.0000 0.0000 0.0000  4 Ni 2.66, 4 Pm 2.66

=====

Run ii
Compound: PmFeNi
Source: OQMD
Functional: GGA-PBE
Structure: relaxed

Cell lengths 4.4597, 4.4597, 4.4597 Å; angles 60.00, 60.00, 60.00 degrees
Last column: nearest neighbours and their distance in Å.
Sites, in units of the cell vectors:
Ni 0.7500 0.7500 0.7500  4 Pm 2.73
Pm 0.0000 0.0000 0.0000  4 Fe 2.73, 4 Ni 2.73
Fe 0.2500 0.2500 0.2500  4 Pm 2.73

=====

Computed stability ranking, most favorable first: run i, run ii

=====

Run i
Compound: RbFeNiTe3
Source: OQMD
Functional: GGA-PBE
Structure: relaxed

Cell lengths 8.4554, 8.4554, 10.2967 Å; angles 90.00, 90.00, 153.50 degrees
Last column: nearest neighbours and their distance in Å.
Sites, in units of the cell vectors:
Te 0.1064 0.8936 0.0398  1 Ni 2.50, 2 Fe 2.64
Te 0.8936 0.1064 0.5398  1 Ni 2.50, 2 Fe 2.64
Te 0.5649 0.4351 0.7500  2 Ni 2.50, 2 Fe 2.79
Te 0.8936 0.1064 0.9602  1 Ni 2.50, 2 Fe 2.64
Te 0.1064 0.8936 0.4602  1 Ni 2.50, 2 Fe 2.64
Te 0.4351 0.5649 0.2500  2 Ni 2.50, 2 Fe 2.79
Rb 0.7415 0.2585 0.2500  8 Te 3.66-3.89, 2 Rb 3.88, 2 Ni 3.97
Rb 0.2585 0.7415 0.7500  8 Te 3.66-3.89, 2 Rb 3.88, 2 Ni 3.97
Ni 0.9691 0.0309 0.7500  4 Te 2.50
Ni 0.0309 0.9691 0.2500  4 Te 2.50
Fe 0.5000 0.5000 0.0000  6 Te 2.64-2.79
Fe 0.5000 0.5000 0.5000  6 Te 2.64-2.79

=====

Run ii
Compound: RbFeNiTe3
Source: OQMD
Functional: GGA-PBE
Structure: relaxed

Cell lengths 9.3923, 3.9159, 10.3601 Å; angles 90.00, 116.57, 90.00 degrees
Last column: nearest neighbours and their distance in Å.
Sites, in units of the cell vectors:
Fe 0.9308 0.7500 0.4133  2 Fe 2.58, 4 Te 2.60-2.63
Fe 0.0692 0.2500 0.5867  2 Fe 2.58, 4 Te 2.60-2.63
Ni 0.6753 0.2500 0.1567  6 Te 2.62-2.65
Ni 0.3247 0.7500 0.8433  6 Te 2.62-2.65
Rb 0.2260 0.2500 0.2579  7 Te 3.67-3.83, 2 Rb 3.92
Rb 0.7740 0.7500 0.7421  7 Te 3.67-3.83, 2 Rb 3.92
Te 0.1439 0.2500 0.8610  1 Fe 2.60, 2 Ni 2.65
Te 0.5243 0.2500 0.8745  3 Ni 2.62-2.63
Te 0.7574 0.2500 0.4365  3 Fe 2.63, 1 Ni 2.65
Te 0.8561 0.7500 0.1390  1 Fe 2.60, 2 Ni 2.65
Te 0.2426 0.7500 0.5635  3 Fe 2.63, 1 Ni 2.65
Te 0.4757 0.7500 0.1255  3 Ni 2.62-2.63

=====

Computed stability ranking, most favorable first: run ii, run i

=====

Run i
Compound: FeReSiNi
Source: OQMD
Functional: GGA-PBE
Structure: relaxed

Cell lengths 4.0639, 4.0639, 4.0639 Å; angles 60.00, 60.00, 60.00 degrees
Last column: nearest neighbours and their distance in Å.
Sites, in units of the cell vectors:
Ni 0.5000 0.5000 0.5000  4 Re 2.49, 4 Fe 2.49
Re 0.2500 0.2500 0.2500  4 Ni 2.49, 4 Si 2.49
Fe 0.7500 0.7500 0.7500  4 Si 2.49, 4 Ni 2.49
Si 0.0000 0.0000 0.0000  4 Fe 2.49, 4 Re 2.49

=====

Run ii
Compound: FeReSiNi
Source: OQMD
Functional: GGA-PBE
Structure: relaxed

Cell lengths 4.0771, 4.0771, 4.0771 Å; angles 60.00, 60.00, 60.00 degrees
Last column: nearest neighbours and their distance in Å.
Sites, in units of the cell vectors:
Ni 0.2500 0.2500 0.2500  4 Re 2.50, 4 Si 2.50
Si 0.0000 0.0000 0.0000  4 Fe 2.50, 4 Ni 2.50
Re 0.5000 0.5000 0.5000  4 Ni 2.50, 4 Fe 2.50
Fe 0.7500 0.7500 0.7500  4 Si 2.50, 4 Re 2.50

=====

Computed stability ranking, most favorable first: run i, run ii

=====

Run i
Compound: ZnFeReNi
Source: OQMD
Functional: GGA-PBE
Structure: relaxed

Cell lengths 4.1532, 4.1532, 4.1532 Å; angles 60.00, 60.00, 60.00 degrees
Last column: nearest neighbours and their distance in Å.
Sites, in units of the cell vectors:
Fe 0.7500 0.7500 0.7500  4 Ni 2.54, 4 Zn 2.54
Re 0.2500 0.2500 0.2500  4 Zn 2.54, 4 Ni 2.54
Ni 0.5000 0.5000 0.5000  4 Re 2.54, 4 Fe 2.54
Zn 0.0000 0.0000 0.0000  4 Re 2.54, 4 Fe 2.54

=====

Run ii
Compound: ZnFeReNi
Source: OQMD
Functional: GGA-PBE
Structure: relaxed

Cell lengths 4.1340, 4.1340, 4.1340 Å; angles 60.00, 60.00, 60.00 degrees
Last column: nearest neighbours and their distance in Å.
Sites, in units of the cell vectors:
Zn 0.0000 0.0000 0.0000  4 Ni 2.53, 4 Fe 2.53
Re 0.5000 0.5000 0.5000  4 Fe 2.53, 4 Ni 2.53
Fe 0.7500 0.7500 0.7500  4 Re 2.53, 4 Zn 2.53
Ni 0.2500 0.2500 0.2500  4 Zn 2.53, 4 Re 2.53

=====

Computed stability ranking, most favorable first: run ii, run i

=====

Run i
Compound: FeNiSnS3
Source: OQMD
Functional: GGA-PBE
Structure: relaxed

Cell lengths 6.9421, 6.9421, 8.5836 Å; angles 90.00, 90.00, 150.11 degrees
Last column: nearest neighbours and their distance in Å.
Sites, in units of the cell vectors:
Sn 0.7610 0.2390 0.7500  8 S 2.84-3.14
Sn 0.2390 0.7610 0.2500  8 S 2.84-3.14
S 0.3683 0.6317 0.5551  1 Fe 2.20
S 0.9296 0.0704 0.2500  2 Fe 2.20, 2 Ni 2.34
S 0.6317 0.3683 0.0551  1 Fe 2.20
S 0.3683 0.6317 0.9449  1 Fe 2.20
S 0.6317 0.3683 0.4449  1 Fe 2.20
S 0.0704 0.9296 0.7500  2 Fe 2.20, 2 Ni 2.34
Fe 0.5252 0.4748 0.2500  4 S 2.20
Fe 0.4748 0.5252 0.7500  4 S 2.20
Ni 0.0000 0.0000 0.5000  6 S 2.34-2.56
Ni 0.0000 0.0000 0.0000  6 S 2.34-2.56

=====

Run ii
Compound: FeNiSnS3
Source: OQMD
Functional: GGA-PBE
Structure: relaxed

Cell lengths 3.5348, 6.8066, 8.7740 Å; angles 90.00, 90.00, 74.95 degrees
Last column: nearest neighbours and their distance in Å.
Sites, in units of the cell vectors:
S 0.0713 0.8573 0.7500  2 Ni 2.18, 2 Fe 2.39
S 0.6322 0.7356 0.0521  1 Ni 2.23
S 0.3678 0.2644 0.9479  1 Ni 2.23
S 0.6322 0.7356 0.4479  1 Ni 2.23
S 0.3678 0.2644 0.5521  1 Ni 2.23
S 0.9287 0.1427 0.2500  2 Ni 2.18, 2 Fe 2.39
Fe 0.0000 0.0000 0.0000  6 S 2.39-2.52
Fe 0.0000 0.0000 0.5000  6 S 2.39-2.52
Sn 0.7607 0.4786 0.7500  8 S 2.85-3.14
Sn 0.2393 0.5214 0.2500  8 S 2.85-3.14
Ni 0.4740 0.0521 0.7500  4 S 2.18-2.23
Ni 0.5260 0.9479 0.2500  4 S 2.18-2.23

=====

Computed stability ranking, most favorable first: run ii, run i

=====

Run i
Compound: SrFeNiS3
Source: OQMD
Functional: GGA-PBE
Structure: relaxed

Cell lengths 3.6738, 6.6597, 9.0736 Å; angles 90.00, 90.00, 73.99 degrees
Last column: nearest neighbours and their distance in Å.
Sites, in units of the cell vectors:
S 0.0641 0.8718 0.7500  2 Ni 2.20, 2 Fe 2.41
S 0.6286 0.7428 0.4522  1 Ni 2.23
S 0.3714 0.2572 0.9522  1 Ni 2.23
S 0.6286 0.7428 0.0478  1 Ni 2.23
S 0.9359 0.1282 0.2500  2 Ni 2.20, 2 Fe 2.41
S 0.3714 0.2572 0.5478  1 Ni 2.23
Fe 0.0000 0.0000 0.0000  6 S 2.41-2.50
Fe 0.0000 0.0000 0.5000  6 S 2.41-2.50
Sr 0.2488 0.5024 0.2500  8 S 3.02-3.12, 2 Ni 3.35
Sr 0.7512 0.4976 0.7500  8 S 3.02-3.12, 2 Ni 3.35
Ni 0.5303 0.9394 0.2500  4 S 2.20-2.23
Ni 0.4697 0.0606 0.7500  4 S 2.20-2.23

=====

Run ii
Compound: SrFeNiS3
Source: OQMD
Functional: GGA-PBE
Structure: relaxed

Cell lengths 6.6962, 6.6962, 8.9864 Å; angles 90.00, 90.00, 33.13 degrees
Last column: nearest neighbours and their distance in Å.
Sites, in units of the cell vectors:
Sr 0.7500 0.7500 0.2500  8 S 3.03-3.10
Sr 0.2500 0.2500 0.7500  8 S 3.03-3.10
S 0.3724 0.3724 0.4531  1 Fe 2.23
S 0.0668 0.0668 0.2500  2 Fe 2.27, 2 Ni 2.40
S 0.6276 0.6276 0.9531  1 Fe 2.23
S 0.6276 0.6276 0.5469  1 Fe 2.23
S 0.3724 0.3724 0.0469  1 Fe 2.23
S 0.9332 0.9332 0.7500  2 Fe 2.27, 2 Ni 2.40
Ni 0.0000 0.0000 0.0000  6 S 2.40-2.55
Ni 0.0000 0.0000 0.5000  6 S 2.40-2.55
Fe 0.4715 0.4715 0.2500  4 S 2.23-2.27
Fe 0.5285 0.5285 0.7500  4 S 2.23-2.27

=====

Computed stability ranking, most favorable first: run i, run ii

=====

Run i
Compound: FeNiSbW
Source: OQMD
Functional: GGA-PBE
Structure: relaxed

Cell lengths 4.3220, 4.3220, 4.3220 Å; angles 60.00, 60.00, 60.00 degrees
Last column: nearest neighbours and their distance in Å.
Sites, in units of the cell vectors:
W 0.5000 0.5000 0.5000  4 Fe 2.65, 4 Ni 2.65
Sb 0.0000 0.0000 0.0000  4 Fe 2.65, 4 Ni 2.65
Ni 0.2500 0.2500 0.2500  4 W 2.65, 4 Sb 2.65
Fe 0.7500 0.7500 0.7500  4 W 2.65, 4 Sb 2.65

=====

Run ii
Compound: FeNiSbW
Source: OQMD
Functional: GGA-PBE
Structure: relaxed

Cell lengths 4.3708, 4.3708, 4.3708 Å; angles 60.00, 60.00, 60.00 degrees
Last column: nearest neighbours and their distance in Å.
Sites, in units of the cell vectors:
Ni 0.5000 0.5000 0.5000  4 Fe 2.68, 4 W 2.68
W 0.2500 0.2500 0.2500  4 Sb 2.68, 4 Ni 2.68
Sb 0.0000 0.0000 0.0000  4 W 2.68, 4 Fe 2.68
Fe 0.7500 0.7500 0.7500  4 Ni 2.68, 4 Sb 2.68

=====

Computed stability ranking, most favorable first: run i, run ii

=====

Run i
Compound: ScFeSiNi
Source: OQMD
Functional: GGA-PBE
Structure: relaxed

Cell lengths 4.2636, 4.2636, 4.2636 Å; angles 60.00, 60.00, 60.00 degrees
Last column: nearest neighbours and their distance in Å.
Sites, in units of the cell vectors:
Sc 0.7500 0.7500 0.7500  4 Si 2.61, 4 Ni 2.61
Si 0.0000 0.0000 0.0000  4 Fe 2.61, 4 Sc 2.61
Fe 0.2500 0.2500 0.2500  4 Si 2.61, 4 Ni 2.61
Ni 0.5000 0.5000 0.5000  4 Fe 2.61, 4 Sc 2.61

=====

Run ii
Compound: ScFeSiNi
Source: OQMD
Functional: GGA-PBE
Structure: relaxed

Cell lengths 4.1614, 4.1614, 4.1614 Å; angles 60.00, 60.00, 60.00 degrees
Last column: nearest neighbours and their distance in Å.
Sites, in units of the cell vectors:
Ni 0.2500 0.2500 0.2500  4 Si 2.55, 4 Sc 2.55
Fe 0.7500 0.7500 0.7500  4 Si 2.55, 4 Sc 2.55
Si 0.0000 0.0000 0.0000  4 Fe 2.55, 4 Ni 2.55
Sc 0.5000 0.5000 0.5000  4 Fe 2.55, 4 Ni 2.55

=====

Run iii
Compound: ScFeSiNi
Source: OQMD
Functional: GGA-PBE
Structure: relaxed

Cell lengths 4.2740, 4.2740, 4.2740 Å; angles 60.00, 60.00, 60.00 degrees
Last column: nearest neighbours and their distance in Å.
Sites, in units of the cell vectors:
Fe 0.5000 0.5000 0.5000  4 Sc 2.62, 4 Ni 2.62
Si 0.0000 0.0000 0.0000  4 Sc 2.62, 4 Ni 2.62
Ni 0.7500 0.7500 0.7500  4 Fe 2.62, 4 Si 2.62
Sc 0.2500 0.2500 0.2500  4 Si 2.62, 4 Fe 2.62

=====

Computed stability ranking, most favorable first: run ii, run i, run iii

=====

Run i
Compound: FeNiSnSe3
Source: OQMD
Functional: GGA-PBE
Structure: relaxed

Cell lengths 7.1690, 7.1690, 9.2461 Å; angles 90.00, 90.00, 29.82 degrees
Last column: nearest neighbours and their distance in Å.
Sites, in units of the cell vectors:
Fe 0.4722 0.4722 0.2500  4 Se 2.35
Fe 0.5278 0.5278 0.7500  4 Se 2.35
Sn 0.2264 0.2264 0.7500  6 Se 2.97-3.28, 2 Fe 3.31
Sn 0.7736 0.7736 0.2500  6 Se 2.97-3.28, 2 Fe 3.31
Ni 0.0000 0.0000 0.5000  6 Se 2.55-2.60
Ni 0.0000 0.0000 0.0000  6 Se 2.55-2.60
Se 0.6290 0.6290 0.5454  1 Fe 2.35, 2 Ni 2.60
Se 0.0775 0.0775 0.2500  2 Fe 2.35, 2 Ni 2.55
Se 0.3710 0.3710 0.0454  1 Fe 2.35, 2 Ni 2.60
Se 0.3710 0.3710 0.4546  1 Fe 2.35, 2 Ni 2.60
Se 0.6290 0.6290 0.9546  1 Fe 2.35, 2 Ni 2.60
Se 0.9225 0.9225 0.7500  2 Fe 2.35, 2 Ni 2.55

=====

Run ii
Compound: FeNiSnSe3
Source: OQMD
Functional: GGA-PBE
Structure: relaxed

Cell lengths 3.6447, 7.0397, 9.3795 Å; angles 90.00, 90.00, 75.00 degrees
Last column: nearest neighbours and their distance in Å.
Sites, in units of the cell vectors:
Sn 0.2302 0.5396 0.2500  8 Se 2.98-3.32, 2 Ni 3.22
Sn 0.7698 0.4604 0.7500  8 Se 2.98-3.32, 2 Ni 3.22
Fe 0.0000 0.0000 0.5000  6 Se 2.54-2.59
Fe 0.0000 0.0000 0.0000  6 Se 2.54-2.59
Se 0.3680 0.2641 0.9572  1 Ni 2.35, 2 Fe 2.59
Se 0.0722 0.8556 0.7500  2 Ni 2.33, 2 Fe 2.54
Se 0.6320 0.7359 0.0428  1 Ni 2.35, 2 Fe 2.59
Se 0.3680 0.2641 0.5428  1 Ni 2.35, 2 Fe 2.59
Se 0.6320 0.7359 0.4572  1 Ni 2.35, 2 Fe 2.59
Se 0.9278 0.1444 0.2500  2 Ni 2.33, 2 Fe 2.54
Ni 0.5347 0.9307 0.2500  4 Se 2.33-2.35
Ni 0.4653 0.0693 0.7500  4 Se 2.33-2.35

=====

Computed stability ranking, most favorable first: run ii, run i

=====

Run i
Compound: SrFeNiSe3
Source: OQMD
Functional: GGA-PBE
Structure: relaxed

Cell lengths 6.9645, 6.9645, 9.4614 Å; angles 90.00, 90.00, 33.16 degrees
Last column: nearest neighbours and their distance in Å.
Sites, in units of the cell vectors:
Ni 0.0000 0.0000 0.0000  6 Se 2.55-2.66
Ni 0.0000 0.0000 0.5000  6 Se 2.55-2.66
Se 0.3712 0.3712 0.0430  1 Fe 2.37
Se 0.9289 0.9289 0.7500  2 Fe 2.40, 2 Ni 2.55
Se 0.6288 0.6288 0.5430  1 Fe 2.37
Se 0.0711 0.0711 0.2500  2 Fe 2.40, 2 Ni 2.55
Se 0.6288 0.6288 0.9570  1 Fe 2.37
Se 0.3712 0.3712 0.4570  1 Fe 2.37
Sr 0.2441 0.2441 0.7500  8 Se 3.17-3.25, 2 Fe 3.49
Sr 0.7559 0.7559 0.2500  8 Se 3.17-3.25, 2 Fe 3.49
Fe 0.4705 0.4705 0.2500  4 Se 2.37-2.40
Fe 0.5295 0.5295 0.7500  4 Se 2.37-2.40

=====

Run ii
Compound: SrFeNiSe3
Source: OQMD
Functional: GGA-PBE
Structure: relaxed

Cell lengths 6.9526, 6.9526, 9.5667 Å; angles 90.00, 90.00, 32.01 degrees
Last column: nearest neighbours and their distance in Å.
Sites, in units of the cell vectors:
Fe 0.0000 0.0000 0.5000  6 Se 2.55-2.63
Fe 0.0000 0.0000 0.0000  6 Se 2.55-2.63
Ni 0.5339 0.5339 0.7500  4 Se 2.34-2.36
Ni 0.4661 0.4661 0.2500  4 Se 2.34-2.36
Se 0.6306 0.6306 0.9563  1 Ni 2.36, 2 Fe 2.63
Se 0.6306 0.6306 0.5437  1 Ni 2.36, 2 Fe 2.63
Se 0.3694 0.3694 0.0437  1 Ni 2.36, 2 Fe 2.63
Se 0.3694 0.3694 0.4563  1 Ni 2.36, 2 Fe 2.63
Se 0.9329 0.9329 0.7500  2 Ni 2.34, 2 Fe 2.55
Se 0.0671 0.0671 0.2500  2 Ni 2.34, 2 Fe 2.55
Sr 0.2430 0.2430 0.7500  8 Se 3.13-3.28, 2 Ni 3.39
Sr 0.7570 0.7570 0.2500  8 Se 3.13-3.28, 2 Ni 3.39

=====

Computed stability ranking, most favorable first: run ii, run i

=====

Run i
Compound: TaFeSiNi
Source: OQMD
Functional: GGA-PBE
Structure: relaxed

Cell lengths 4.1514, 4.1514, 4.1514 Å; angles 60.00, 60.00, 60.00 degrees
Last column: nearest neighbours and their distance in Å.
Sites, in units of the cell vectors:
Ni 0.2500 0.2500 0.2500  4 Si 2.54, 4 Ta 2.54
Ta 0.5000 0.5000 0.5000  4 Fe 2.54, 4 Ni 2.54
Fe 0.7500 0.7500 0.7500  4 Ta 2.54, 4 Si 2.54
Si 0.0000 0.0000 0.0000  4 Ni 2.54, 4 Fe 2.54

=====

Run ii
Compound: TaFeSiNi
Source: OQMD
Functional: GGA-PBE
Structure: relaxed

Cell lengths 4.2015, 4.2015, 4.2015 Å; angles 60.00, 60.00, 60.00 degrees
Last column: nearest neighbours and their distance in Å.
Sites, in units of the cell vectors:
Fe 0.5000 0.5000 0.5000  4 Ta 2.57, 4 Ni 2.57
Ni 0.7500 0.7500 0.7500  4 Fe 2.57, 4 Si 2.57
Si 0.0000 0.0000 0.0000  4 Ta 2.57, 4 Ni 2.57
Ta 0.2500 0.2500 0.2500  4 Fe 2.57, 4 Si 2.57

=====

Computed stability ranking, most favorable first: run i, run ii